# 1
! Dy2GaPt4 (PBE, relaxed); values from VASP
! D(E_F) in states/eV/f.u.: 2.213
! ΔE_f in eV/atom: -0.55
&SYSTEM
  ibrav = 0, nat = 7, ntyp = 3
/
ATOMIC_SPECIES
Dy 162.50 Dy.upf
Ga 69.72 Ga.upf
Pt 195.08 Pt.upf
CELL_PARAMETERS angstrom
-2.3174 2.3174 7.2584
2.3174 -2.3174 7.2584
2.3174 2.3174 -7.2584
ATOMIC_POSITIONS angstrom
Dy 0.0000 0.0000 2.0436
Dy 0.0000 0.0000 12.4733
Ga 0.0000 0.0000 7.2584
Pt 2.3174 0.0000 0.0000
Pt 0.0000 0.0000 4.7709
Pt 0.0000 2.3174 0.0000
Pt 0.0000 0.0000 9.7460

---

# 2
! Dy2GaPt9 (PBE, relaxed); values from VASP
! D(E_F) in states/eV/f.u.: 12.131
! ΔE_f in eV/atom: -0.83
&SYSTEM
  ibrav = 0, nat = 12, ntyp = 3
/
ATOMIC_SPECIES
Dy 162.50 Dy.upf
Ga 69.72 Ga.upf
Pt 195.08 Pt.upf
CELL_PARAMETERS angstrom
4.0830 0.0000 0.0000
0.0000 4.0830 0.0000
0.0000 0.0000 12.0913
ATOMIC_POSITIONS angstrom
Dy 0.0000 0.0000 2.0694
Dy 0.0000 0.0000 10.0220
Ga 0.0000 0.0000 6.0457
Pt 0.0000 2.0415 0.0000
Pt 0.0000 2.0415 4.1790
Pt 0.0000 2.0415 7.9123
Pt 2.0415 0.0000 0.0000
Pt 2.0415 0.0000 4.1790
Pt 2.0415 0.0000 7.9123
Pt 2.0415 2.0415 2.0982
Pt 2.0415 2.0415 6.0457
Pt 2.0415 2.0415 9.9932

---

# 3
! DyGaPt2 (PBE, relaxed); values from VASP
! D(E_F) in states/eV/f.u.: 1.568
! ΔE_f in eV/atom: -1.00
&SYSTEM
  ibrav = 0, nat = 4, ntyp = 3
/
ATOMIC_SPECIES
Dy 162.50 Dy.upf
Ga 69.72 Ga.upf
Pt 195.08 Pt.upf
CELL_PARAMETERS angstrom
2.2039 1.2724 4.5787
-2.2039 1.2724 4.5787
0.0000 -2.5448 4.5787
ATOMIC_POSITIONS angstrom
Dy 0.0000 0.0000 0.0000
Ga 0.0000 0.0000 6.8680
Pt 0.0000 0.0000 2.9645
Pt 0.0000 0.0000 10.7714

---

# 4
! DyGaPt (PBE, relaxed); values from VASP
! D(E_F) in states/eV/f.u.: 1.578
! ΔE_f in eV/atom: -1.11
&SYSTEM
  ibrav = 0, nat = 12, ntyp = 3
/
ATOMIC_SPECIES
Dy 162.50 Dy.upf
Ga 69.72 Ga.upf
Pt 195.08 Pt.upf
CELL_PARAMETERS angstrom
6.8707 0.0000 0.0000
0.0000 4.4432 0.0000
0.0000 0.0000 7.7319
ATOMIC_POSITIONS angstrom
Dy 0.1056 1.1108 1.5353
Dy 3.3297 3.3324 5.4012
Dy 3.5410 1.1108 2.3307
Dy 6.7651 3.3324 6.1966
Ga 1.1801 1.1108 4.4407
Ga 2.2552 3.3324 0.5747
Ga 4.6155 1.1108 7.1572
Ga 5.6906 3.3324 3.2912
Pt 1.5587 3.3324 3.1011
Pt 1.8767 1.1108 6.9670
Pt 4.9941 3.3324 0.7649
Pt 5.3120 1.1108 4.6308

---

# 5
! DyGa2Pt (PBE, relaxed); values from VASP
! D(E_F) in states/eV/f.u.: 2.045
! ΔE_f in eV/atom: -0.84
&SYSTEM
  ibrav = 0, nat = 16, ntyp = 3
/
ATOMIC_SPECIES
Dy 162.50 Dy.upf
Ga 69.72 Ga.upf
Pt 195.08 Pt.upf
CELL_PARAMETERS angstrom
8.1328 0.0000 0.0000
0.0000 6.7887 0.0000
0.0000 0.0000 5.5267
ATOMIC_POSITIONS angstrom
Dy 0.3468 1.6972 0.6990
Dy 3.7196 5.0915 3.4623
Dy 4.4132 1.6972 2.0643
Dy 7.7860 5.0915 4.8277
Ga 1.5087 0.3554 3.4315
Ga 1.5087 3.0389 3.4315
Ga 2.5577 3.7497 0.6682
Ga 2.5577 6.4333 0.6682
Ga 5.5751 0.3554 4.8585
Ga 5.5751 3.0389 4.8585
Ga 6.6241 3.7497 2.0951
Ga 6.6241 6.4333 2.0951
Pt 0.7425 5.0915 2.0241
Pt 3.3239 1.6972 4.7874
Pt 4.8089 5.0915 0.7393
Pt 7.3903 1.6972 3.5026

---

# 6
! DyGaPt (PBE, relaxed); values from VASP
! D(E_F) in states/eV/f.u.: 3.734
! ΔE_f in eV/atom: -0.89
&SYSTEM
  ibrav = 0, nat = 3, ntyp = 3
/
ATOMIC_SPECIES
Dy 162.50 Dy.upf
Ga 69.72 Ga.upf
Pt 195.08 Pt.upf
CELL_PARAMETERS angstrom
0.0000 3.2409 3.2409
3.2409 0.0000 3.2409
3.2409 3.2409 0.0000
ATOMIC_POSITIONS angstrom
Dy 0.0000 0.0000 0.0000
Ga 3.2409 3.2409 3.2409
Pt 4.8614 4.8614 4.8614

---

- Look up the ΔE_f of the third one.
  -1.00 eV/atom

---

- Look up the D(E_F) of the sixth one.
  3.734 states/eV/f.u.

---

- What is the D(E_F) in the third record?
  1.568 states/eV/f.u.

---

- Among the records above, which one has the highest D(E_F)?
  Dy2GaPt9